Tb4SiBr6 | PBE | optimized geometry

As for the energy: -103.1 eV for the cell shown. The symmetry is Pbam, No. 55. As for the magnetization: 0.0 μB/f.u.

Lattice parameters (Å, degrees): 4.081 13.481 14.088 90.00 90.00 90.00
Fractional positions:
Tb  0.500  0.125  0.347
Tb  0.500  0.875  0.653
Tb  0.500  0.625  0.153
Tb  0.500  0.375  0.847
Tb  0.000  0.112  0.584
Tb  0.000  0.888  0.416
Tb  0.000  0.612  0.916
Tb  0.000  0.388  0.084
Si  0.500  0.000  0.500
Si  0.500  0.500  0.000
Br  0.500  0.258  0.176
Br  0.500  0.742  0.824
Br  0.500  0.758  0.324
Br  0.500  0.242  0.676
Br  0.000  0.256  0.423
Br  0.000  0.744  0.577
Br  0.000  0.756  0.077
Br  0.000  0.244  0.923
Br  0.000  0.015  0.244
Br  0.000  0.985  0.756
Br  0.000  0.515  0.256
Br  0.000  0.485  0.744

Sn2BPt2 | PBE | optimized geometry

The symmetry is I4/mmm, No. 139. As for the magnetization: 0.0 μB/f.u. For the energy above the lowest structure with this stoichiometry, the calculation gives 76.6 meV per atom. The energy relative to the elements is -0.0193 eV per atom.

Lattice parameters (Å, degrees): 5.547 5.547 5.146 57.39 57.39 90.00
Fractional positions:
B  0.000  0.000  0.000
Sn  0.750  0.250  0.500
Sn  0.250  0.750  0.500
Pt  0.291  0.291  0.418
Pt  0.709  0.709  0.582

RbCr2Br | PBE | optimized geometry

The symmetry is Fm-3m, No. 225. As for the magnetization: 11.5 μB/f.u. For the energy above the lowest structure with this stoichiometry, the calculation gives 316.7 meV per atom.

Lattice parameters (Å, degrees): 5.705 5.705 5.705 60.00 60.00 60.00
Site moments in Bohr magnetons follow the coordinates.
Fractional positions:
Cr  0.250  0.250  0.250  4.43
Cr  0.750  0.750  0.750  4.43
Br  0.000  0.000  0.000  0.16
Rb  0.500  0.500  0.500  0.10

CeScPd4 | PBE | optimized geometry

The symmetry is Pnma, No. 62. As for the magnetization: 0.7 μB/f.u. For the energy above the lowest structure with this stoichiometry, the calculation gives 0.0 meV per atom. The energy relative to the elements is -0.7520 eV per atom.

Lattice parameters (Å, degrees): 4.193 7.777 13.723 90.00 90.00 90.00
Site moments in Bohr magnetons follow the coordinates.
Fractional positions:
Ce  0.750  0.219  0.448  0.56
Ce  0.250  0.781  0.552  0.56
Ce  0.250  0.281  0.948  0.56
Ce  0.750  0.719  0.052  0.56
Sc  0.750  0.784  0.765  0.03
Sc  0.250  0.216  0.235  0.03
Sc  0.250  0.716  0.265  0.03
Sc  0.750  0.284  0.735  0.03
Pd  0.750  0.010  0.620  0.00
Pd  0.250  0.990  0.380  0.00
Pd  0.250  0.490  0.120  0.00
Pd  0.750  0.510  0.880  0.00
Pd  0.750  0.737  0.403  0.00
Pd  0.250  0.263  0.597  0.00
Pd  0.250  0.763  0.903  0.00
Pd  0.750  0.237  0.097  0.00
Pd  0.750  0.028  0.915  0.00
Pd  0.250  0.972  0.085  0.00
Pd  0.250  0.472  0.415  0.00
Pd  0.750  0.528  0.585  0.00
Pd  0.750  0.963  0.236  0.01
Pd  0.250  0.037  0.764  0.01
Pd  0.250  0.537  0.736  0.01
Pd  0.750  0.463  0.264  0.01

MgTaAu | PBE | optimized geometry

The symmetry is P2_1/m, No. 11. As for the magnetization: 0.0 μB/f.u. For the energy above the lowest structure with this stoichiometry, the calculation gives 15.0 meV per atom. The energy relative to the elements is -0.1818 eV per atom.

Lattice parameters (Å, degrees): 7.480 3.348 4.452 90.00 89.99 102.96
Fractional positions:
Mg  0.709  0.690  0.236
Mg  0.016  0.845  0.737
Au  0.685  0.179  0.736
Au  0.040  0.357  0.237
Ta  0.354  0.013  0.237
Ta  0.372  0.523  0.737

TbGdSc2 | PBE | optimized geometry

The symmetry is P4/mmm, No. 123. As for the magnetization: 7.1 μB/f.u. For the energy above the lowest structure with this stoichiometry, the calculation gives 24.0 meV per atom. The energy relative to the elements is 0.0739 eV per atom.

Lattice parameters (Å, degrees): 3.858 3.858 7.564 90.00 90.00 90.00
Site moments in Bohr magnetons follow the coordinates.
Fractional positions:
Sc  0.000  0.000  0.750  -0.04
Sc  0.000  0.000  0.250  -0.04
Gd  0.500  0.500  0.000  7.15
Tb  0.500  0.500  0.500  -0.12

Na2Li2ThTe4 | PBE | optimized geometry

As for the energy: -36.1 eV for the cell shown. The symmetry is C2/m, No. 12. As for the magnetization: 0.0 μB/f.u.

Lattice parameters (Å, degrees): 4.523 8.653 8.431 117.06 90.00 105.15
Fractional positions:
Na  0.846  0.692  0.466
Na  0.154  0.308  0.534
Li  0.320  0.639  0.017
Li  0.680  0.361  0.983
Th  0.000  0.000  0.000
Te  0.786  0.571  0.799
Te  0.214  0.429  0.201
Te  0.504  0.007  0.262
Te  0.496  0.993  0.738

Dy2BiPd4 | PBE | optimized geometry

The symmetry is I4/mmm, No. 139. As for the magnetization: 0.0 μB/f.u. The energy relative to the elements is -0.7381 eV per atom.

Lattice parameters (Å, degrees): 4.081 4.081 9.589 102.29 102.29 90.00
Fractional positions:
Dy  0.627  0.627  0.253
Dy  0.373  0.373  0.747
Bi  0.000  0.000  0.000
Pd  0.148  0.148  0.296
Pd  0.852  0.852  0.704
Pd  0.750  0.250  0.500
Pd  0.250  0.750  0.500

La6Mg5Sb | PBE | optimized geometry

As for the energy: -45.0 eV for the cell shown. The symmetry is Cmmm, No. 65. As for the magnetization: 0.0 μB/f.u.

Lattice parameters (Å, degrees): 5.615 7.799 8.923 90.00 71.66 90.00
Fractional positions:
Sb  0.000  0.000  0.000
Mg  0.665  0.500  0.669
Mg  0.323  0.000  0.354
Mg  0.000  0.500  0.000
Mg  0.677  0.000  0.646
Mg  0.335  0.500  0.331
La  0.836  0.747  0.327
La  0.836  0.253  0.327
La  0.500  0.242  0.000
La  0.500  0.758  0.000
La  0.164  0.747  0.673
La  0.164  0.253  0.673

ZrNiTe3 | PBE | optimized geometry

The symmetry is Pm-3m, No. 221. As for the magnetization: 0.1 μB/f.u. For the energy above the lowest structure with this stoichiometry, the calculation gives 1021.6 meV per atom.

Lattice parameters (Å, degrees): 5.540 5.540 5.540 90.00 90.00 90.00
Fractional positions:
Ni  0.500  0.500  0.500
Te  0.000  0.500  0.000
Te  0.000  0.000  0.500
Te  0.500  0.000  0.000
Zr  0.000  0.000  0.000

YScAs2 | PBE | optimized geometry

The symmetry is P4/mmm, No. 123. As for the magnetization: 0.0 μB/f.u. For the energy above the lowest structure with this stoichiometry, the calculation gives 27.2 meV per atom. The energy relative to the elements is -1.4252 eV per atom.

Lattice parameters (Å, degrees): 5.673 4.014 4.015 90.00 90.00 90.00
Fractional positions:
Y  0.500  0.875  0.875
Sc  0.000  0.375  0.375
As  0.000  0.875  0.875
As  0.500  0.375  0.375

AlZn4Rh | PBE | optimized geometry

The symmetry is F-43m, No. 216. As for the magnetization: 0.0 μB/f.u. The energy relative to the elements is -0.1607 eV per atom.

Lattice parameters (Å, degrees): 4.934 4.934 4.934 60.00 60.00 60.00
Fractional positions:
Al  0.750  0.750  0.750
Zn  0.876  0.375  0.375
Zn  0.375  0.375  0.876
Zn  0.375  0.876  0.375
Zn  0.375  0.375  0.375
Rh  0.000  0.000  0.000

Ce2PrTl4 | PBE | optimized geometry

The symmetry is Cmmm, No. 65. As for the magnetization: 2.6 μB/f.u. For the energy above the lowest structure with this stoichiometry, the calculation gives 232.8 meV per atom. The energy relative to the elements is 0.0796 eV per atom.

Lattice parameters (Å, degrees): 5.178 6.414 7.633 114.84 90.00 90.00
Site moments in Bohr magnetons follow the coordinates.
Fractional positions:
Ce  0.500  0.099  0.198  1.04
Ce  0.500  0.901  0.802  1.04
Pr  0.000  0.500  0.000  0.01
Tl  0.500  0.641  0.283  0.01
Tl  0.000  0.766  0.532  0.00
Tl  0.500  0.359  0.717  0.01
Tl  0.000  0.234  0.468  0.00

TcS | PBE | optimized geometry

The symmetry is P2_1/m, No. 11. As for the magnetization: 0.0 μB/f.u. For the energy above the lowest structure with this stoichiometry, the calculation gives 115.0 meV per atom.

Lattice parameters (Å, degrees): 3.736 3.897 6.058 90.00 90.11 90.00
Fractional positions:
S  0.749  0.750  0.767
S  0.251  0.250  0.233
Tc  0.250  0.750  0.005
Tc  0.750  0.250  0.995

Y2ZnS | PBE | optimized geometry

The symmetry is R-3m, No. 166. As for the magnetization: 0.0 μB/f.u. For the energy above the lowest structure with this stoichiometry, the calculation gives 517.2 meV per atom.

Lattice parameters (Å, degrees): 3.720 3.720 9.490 78.70 78.70 60.00
Fractional positions:
Y  0.108  0.108  0.676
Y  0.892  0.892  0.324
Zn  0.000  0.000  0.000
S  0.500  0.500  0.500

Er8Ag2Rh | PBE | optimized geometry

The symmetry is Cm, No. 8. As for the magnetization: 0.0 μB/f.u. For the energy above the lowest structure with this stoichiometry, the calculation gives 56.4 meV per atom. The energy relative to the elements is -0.2187 eV per atom.

Lattice parameters (Å, degrees): 5.959 8.777 8.777 129.75 102.99 102.99
Fractional positions:
Er  0.651  0.389  0.155
Er  0.651  0.155  0.389
Er  0.129  0.276  0.276
Er  0.983  0.199  0.811
Er  0.983  0.811  0.199
Er  0.768  0.727  0.727
Er  0.289  0.842  0.614
Er  0.289  0.614  0.842
Ag  0.484  0.726  0.288
Ag  0.484  0.288  0.726
Rh  0.291  0.007  0.007

TcSeN2F | PBE | optimized geometry

The symmetry is P4/mmm, No. 123. As for the magnetization: 0.7 μB/f.u. For the energy above the lowest structure with this stoichiometry, the calculation gives 70.0 meV per atom.

Lattice parameters (Å, degrees): 3.931 3.931 4.128 90.00 90.00 90.00
Site moments in Bohr magnetons follow the coordinates.
Fractional positions:
N  0.000  0.500  0.000  -0.13
N  0.500  0.000  0.000  -0.13
Tc  0.000  0.000  0.000  0.33
Se  0.500  0.500  0.500  0.47
F  0.000  0.000  0.500  0.02

KInSi2 | PBE | optimized geometry

As for the energy: -12.4 eV for the cell shown. The symmetry is I-4m2, No. 119. As for the magnetization: 0.0 μB/f.u.

Lattice parameters (Å, degrees): 5.339 5.339 5.339 126.98 126.98 78.28
Fractional positions:
In  0.500  0.500  0.000
K  0.750  0.250  0.500
Si  0.000  0.000  0.000
Si  0.250  0.750  0.500

Tl4CoTe | PBE | optimized geometry

As for the energy: -16.0 eV for the cell shown. The symmetry is F-43m, No. 216. As for the magnetization: 2.0 μB/f.u.

Lattice parameters (Å, degrees): 6.369 6.369 6.369 60.00 60.00 60.00
Site moments in Bohr magnetons follow the coordinates.
Fractional positions:
Tl  0.875  0.375  0.375  -0.02
Tl  0.375  0.375  0.875  -0.02
Tl  0.375  0.875  0.375  -0.02
Tl  0.375  0.375  0.375  -0.02
Co  0.750  0.750  0.750  2.10
Te  0.000  0.000  0.000  0.04

Mn3ZnSi | PBE | optimized geometry

The symmetry is Pm-3m, No. 221. As for the magnetization: 9.2 μB/f.u. For the energy above the lowest structure with this stoichiometry, the calculation gives 0.0 meV per atom.

Lattice parameters (Å, degrees): 4.394 4.394 4.394 90.00 90.00 90.00
Site moments in Bohr magnetons follow the coordinates.
Fractional positions:
Zn  0.500  0.500  0.500  -0.12
Mn  0.000  0.500  0.000  3.15
Mn  0.000  0.000  0.500  3.17
Mn  0.500  0.000  0.000  3.05
Si  0.000  0.000  0.000  -0.17

Cu2IrBr6 | PBE | optimized geometry

As for the energy: -58.8 eV for the cell shown. The symmetry is C2/c, No. 15. As for the magnetization: 0.9 μB/f.u.

Lattice parameters (Å, degrees): 6.591 9.377 9.377 80.90 77.62 77.62
Site moments in Bohr magnetons follow the coordinates.
Fractional positions:
Cu  0.341  0.472  0.668  0.22
Cu  0.159  0.332  0.528  0.22
Cu  0.659  0.528  0.332  0.22
Cu  0.841  0.668  0.472  0.22
Ir  0.250  0.075  0.925  0.10
Ir  0.750  0.925  0.075  0.10
Br  0.451  0.692  0.539  0.10
Br  0.049  0.461  0.308  0.10
Br  0.549  0.308  0.461  0.10
Br  0.951  0.539  0.692  0.10
Br  0.844  0.899  0.325  0.05
Br  0.656  0.675  0.101  0.05
Br  0.156  0.101  0.675  0.05
Br  0.344  0.325  0.899  0.05
Br  0.131  0.831  0.970  0.01
Br  0.369  0.030  0.169  0.01
Br  0.869  0.169  0.030  0.01
Br  0.631  0.970  0.831  0.01

Sm12Ni5Hg | PBE | optimized geometry

The symmetry is Immm, No. 71. As for the magnetization: 0.0 μB/f.u. The energy relative to the elements is -0.2709 eV per atom.

Lattice parameters (Å, degrees): 8.484 8.484 8.484 107.29 111.85 109.31
Fractional positions:
Sm  0.525  0.820  0.704
Sm  0.475  0.180  0.296
Sm  0.884  0.180  0.704
Sm  0.116  0.820  0.296
Sm  0.695  0.676  0.371
Sm  0.305  0.324  0.629
Sm  0.305  0.676  0.981
Sm  0.695  0.324  0.019
Sm  0.811  0.598  0.788
Sm  0.189  0.402  0.212
Sm  0.189  0.977  0.788
Sm  0.811  0.023  0.212
Ni  0.635  0.635  0.000
Ni  0.365  0.365  0.000
Ni  0.500  0.124  0.624
Ni  0.500  0.876  0.376
Ni  0.000  0.000  0.000
Hg  0.000  0.500  0.500

ZnBr3O | PBE | optimized geometry

The symmetry is P1, No. 1. As for the magnetization: 0.1 μB/f.u. For the energy above the lowest structure with this stoichiometry, the calculation gives 39.7 meV per atom.

Lattice parameters (Å, degrees): 3.287 8.082 6.965 119.00 103.64 90.07
Site moments in Bohr magnetons follow the coordinates.
Fractional positions:
Zn  0.029  0.217  0.859  0.00
Br  0.848  0.927  0.499  0.12
Br  0.775  0.350  0.350  -0.01
Br  0.001  0.503  0.800  0.00
O  0.611  0.236  0.023  0.00

SnAuF | PBE | optimized geometry

The symmetry is P2_1/c, No. 14. As for the magnetization: 0.0 μB/f.u. For the energy above the lowest structure with this stoichiometry, the calculation gives 139.9 meV per atom.

Lattice parameters (Å, degrees): 5.325 6.221 7.389 90.00 90.00 86.85
Fractional positions:
Sn  0.794  0.806  0.502
Sn  0.294  0.806  0.998
Sn  0.706  0.194  0.002
Sn  0.206  0.194  0.498
Au  0.000  0.502  0.212
Au  0.500  0.502  0.288
Au  0.500  0.498  0.712
Au  0.000  0.498  0.788
F  0.997  0.997  0.829
F  0.497  0.997  0.671
F  0.503  0.003  0.329
F  0.003  0.003  0.171